No. 1
## Pr3Zr2UN6 (PBE-GGA)

Data for an optimized crystal structure of Pr3Zr2UN6.

Output
* total DFT energy (no corrections): -110.79 eV per cell
* raw formation energy: -1.509 eV per atom

Structure (POSCAR):
```
Pr3Zr2UN6
1.0
2.973 -5.153 0.000
2.973 5.153 0.000
-1.972 0.000 5.834
Pr Zr U N
3 2 1 6
Cartesian
0.000 0.000 0.000 Pr
2.973 1.741 0.000 Pr
2.973 -1.741 0.000 Pr
1.988 3.437 2.917 Zr
1.988 -3.437 2.917 Zr
1.988 0.000 2.917 U
1.017 1.679 1.717 N
0.054 0.000 4.107 N
1.017 -1.679 1.717 N
2.958 1.679 4.117 N
3.921 0.000 1.727 N
2.958 -1.679 4.117 N
```



No. 2
## PrSm4Se6 (PBE-GGA)

Data for an optimized crystal structure of PrSm4Se6.

Output
* total DFT energy (no corrections): -130.08 eV per cell
* raw formation energy: -1.862 eV per atom

Structure (POSCAR):
```
PrSm4Se6
1.0
2.055 -6.857 0.000
2.055 6.857 0.000
0.000 0.000 21.202
Pr Sm Se
2 8 12
Cartesian
2.055 4.728 15.901 Pr
2.055 -4.728 5.300 Pr
2.055 5.628 2.691 Sm
2.055 5.628 7.910 Sm
2.055 1.927 0.819 Sm
2.055 1.927 9.782 Sm
2.055 -1.927 11.420 Sm
2.055 -1.927 20.383 Sm
2.055 -5.628 13.292 Sm
2.055 -5.628 18.511 Sm
0.000 0.000 0.000 Se
0.000 0.000 10.601 Se
2.055 4.300 5.300 Se
2.055 3.175 12.536 Se
2.055 3.175 19.267 Se
2.055 0.709 3.528 Se
2.055 0.709 7.073 Se
2.055 -0.709 14.129 Se
2.055 -0.709 17.674 Se
2.055 -3.175 1.935 Se
2.055 -3.175 8.666 Se
2.055 -4.300 15.901 Se
```



No. 3
## TbPm5Ir2 (PBE-GGA)

Data for an optimized crystal structure of TbPm5Ir2.

Output
* formation energy: -2.8 eV/f.u.
* total DFT energy (no corrections): -48.88 eV per cell

Structure (POSCAR):
```
TbPm5Ir2
1.0
-2.117 3.692 7.933
2.117 -3.692 7.933
2.117 3.692 -7.933
Tb Pm Ir
1 5 2
Cartesian
0.000 0.000 0.000 Tb
2.117 1.834 -2.512 Pm
2.117 1.834 2.512 Pm
0.000 3.692 0.000 Pm
0.000 1.858 5.421 Pm
0.000 1.858 10.445 Pm
2.117 0.000 4.973 Ir
0.000 3.692 2.961 Ir
```



No. 4
## PaMn3H6 (PBE-GGA)

Data for an optimized crystal structure of PaMn3H6.

Output
* total DFT energy (no corrections): -58.47 eV per cell

Structure (POSCAR):
```
PaMn3H6
1.0
2.277 1.314 4.639
-2.277 1.314 4.639
0.000 -2.629 4.639
Pa Mn H
1 3 6
Cartesian
0.000 0.000 0.000 Pa
0.000 0.000 2.972 Mn
0.000 0.000 7.416 Mn
0.000 0.000 11.672 Mn
-0.662 -1.434 6.511 H
-0.911 1.290 6.511 H
-1.190 0.667 8.734 H
0.018 -1.364 8.734 H
1.573 0.144 6.511 H
1.172 0.697 8.734 H
```



No. 5
## Rb4Np3AgS8 (PBE-GGA)

Data for an optimized crystal structure of Rb4Np3AgS8.

Output
* total DFT energy (no corrections): -97.15 eV per cell
* raw formation energy: -1.162 eV per atom

Structure (POSCAR):
```
Rb4Np3AgS8
1.0
7.041 -4.068 0.000
7.041 4.068 0.000
-0.008 0.000 7.830
Rb Np Ag S
4 3 1 8
Cartesian
0.000 0.000 0.000 Rb
3.520 2.034 0.000 Rb
3.520 -2.034 0.000 Rb
7.041 0.000 0.000 Rb
-0.004 0.000 3.915 Np
3.516 2.034 3.915 Np
3.516 -2.034 3.915 Np
7.037 0.000 3.915 Ag
5.804 2.137 5.398 S
2.343 0.000 5.392 S
4.576 0.000 2.435 S
8.269 2.137 2.432 S
5.804 -2.137 5.398 S
9.497 0.000 5.395 S
11.731 0.000 2.437 S
8.269 -2.137 2.432 S
```



No. 6
## LaTmCdIr (PBE-GGA)

Data for an optimized crystal structure of LaTmCdIr.

Output
* formation energy: -1.9 eV/f.u.
* total DFT energy (no corrections): -21.08 eV per cell

Structure (POSCAR):
```
LaTmCdIr
1.0
0.000 3.636 3.636
3.636 0.000 3.636
3.636 3.636 0.000
La Tm Cd Ir
1 1 1 1
Cartesian
0.000 0.000 0.000 La
3.636 3.636 3.636 Tm
1.818 1.818 1.818 Cd
5.453 5.453 5.453 Ir
```



No. 7
## AlInP (PBE-GGA)

Data for an optimized crystal structure of AlInP.

Output
* formation energy: -0.4 eV/f.u.
* E above lowest polymorph: 6.2 meV/atom
* total DFT energy (no corrections): -24.63 eV per cell

Structure (POSCAR):
```
AlInP
1.0
-1.889 6.142 3.237
1.889 -6.142 3.237
1.889 6.142 -3.237
Al In P
2 2 2
Cartesian
0.000 2.290 0.000 Al
0.000 9.993 0.000 Al
1.889 0.000 2.668 In
0.000 0.000 4.962 In
1.889 -2.310 1.407 P
1.889 2.310 1.407 P
```



No. 8
## Ti8BS2 (PBE-GGA)

Data for an optimized crystal structure of Ti8BS2.

Output
* total DFT energy (no corrections): -82.82 eV per cell
* raw formation energy: -0.429 eV per atom

Structure (POSCAR):
```
Ti8BS2
1.0
3.575 -5.333 0.000
3.575 5.333 0.000
-1.168 0.000 4.333
Ti B S
8 1 2
Cartesian
0.729 1.279 2.537 Ti
3.575 2.879 0.000 Ti
0.729 -1.279 2.537 Ti
2.443 0.000 0.745 Ti
3.539 0.000 3.588 Ti
5.253 1.279 1.796 Ti
3.575 -2.879 0.000 Ti
5.253 -1.279 1.796 Ti
0.000 0.000 0.000 B
2.991 1.971 2.167 S
2.991 -1.971 2.167 S
```



No. 9
## Pm6ThPb (PBE-GGA)

Data for an optimized crystal structure of Pm6ThPb.

Output
* formation energy: -1.0 eV/f.u.
* total DFT energy (no corrections): -40.62 eV per cell

Structure (POSCAR):
```
Pm6ThPb
1.0
5.006 0.000 0.000
0.000 5.006 0.000
0.000 0.000 10.279
Pm Th Pb
6 1 1
Cartesian
0.000 0.000 0.000 Pm
0.000 0.000 5.139 Pm
0.000 2.503 2.561 Pm
0.000 2.503 7.718 Pm
2.503 0.000 2.561 Pm
2.503 0.000 7.718 Pm
2.503 2.503 5.139 Th
2.503 2.503 0.000 Pb
```



No. 10
## InMo2PbC (PBE-GGA)

Data for an optimized crystal structure of InMo2PbC.

Output
* formation energy: 15.7 eV/f.u.
* total DFT energy (no corrections): -21.66 eV per cell

Structure (POSCAR):
```
InMo2PbC
1.0
5.440 0.000 0.000
0.000 5.440 0.000
0.000 0.000 5.718
In Mo Pb C
1 2 1 1
Cartesian
0.000 0.000 0.000 In
0.000 2.720 2.859 Mo
2.720 0.000 2.859 Mo
0.000 0.000 2.859 Pb
2.720 2.720 0.000 C
```



No. 11
## CuAu2Se (PBE-GGA)

Data for an optimized crystal structure of CuAu2Se.

Output
* total DFT energy (no corrections): -13.87 eV per cell
* raw formation energy: 0.067 eV per atom

Structure (POSCAR):
```
CuAu2Se
1.0
4.630 -1.428 0.000
4.630 1.428 0.000
-0.749 0.000 6.151
Cu Au Se
1 2 1
Cartesian
0.000 0.000 0.000 Cu
4.225 0.000 2.323 Au
6.656 0.000 0.995 Au
2.809 0.000 4.471 Se
```



No. 12
## CsLa2Bi (PBE-GGA)

Data for an optimized crystal structure of CsLa2Bi.

Output
* formation energy: -0.2 eV/f.u.
* total DFT energy (no corrections): -14.77 eV per cell

Structure (POSCAR):
```
CsLa2Bi
1.0
0.000 4.095 4.095
4.095 0.000 4.095
4.095 4.095 0.000
Cs La Bi
1 2 1
Cartesian
0.000 0.000 0.000 Cs
2.047 2.047 2.047 La
6.142 6.142 6.142 La
4.095 4.095 4.095 Bi
```



No. 13
## ZnTe2Au (PBE-GGA)

Data for an optimized crystal structure of ZnTe2Au.

Output
* total DFT energy (no corrections): -10.94 eV per cell
* raw formation energy: -0.026 eV per atom

Structure (POSCAR):
```
ZnTe2Au
1.0
3.890 0.000 0.000
0.000 3.890 0.000
0.000 0.000 7.260
Zn Te Au
1 2 1
Cartesian
0.000 0.000 0.000 Zn
0.000 0.000 2.764 Te
1.945 1.945 6.398 Te
1.945 1.945 2.087 Au
```



No. 14
## PmMg3Sn2 (PBE-GGA)

Data for an optimized crystal structure of PmMg3Sn2.

Output
* formation energy: -1.9 eV/f.u.
* total DFT energy (no corrections): -38.84 eV per cell

Structure (POSCAR):
```
PmMg3Sn2
1.0
8.683 -2.322 0.000
8.683 2.322 0.000
-2.979 0.000 7.470
Pm Mg Sn
2 6 4
Cartesian
1.477 0.000 1.296 Pm
12.909 0.000 6.174 Pm
-0.884 0.000 5.126 Mg
4.936 0.000 0.696 Mg
5.078 0.000 3.766 Mg
9.308 0.000 3.705 Mg
9.451 0.000 6.775 Mg
15.270 0.000 2.344 Mg
2.145 0.000 5.021 Sn
7.769 0.000 1.173 Sn
6.617 0.000 6.297 Sn
12.241 0.000 2.449 Sn
```



No. 15
## Fe2Ni2H3 (PBE-GGA)

Data for an optimized crystal structure of Fe2Ni2H3.

Output
* total DFT energy (no corrections): -38.64 eV per cell

Structure (POSCAR):
```
Fe2Ni2H3
1.0
2.572 0.000 0.000
-1.284 4.318 0.000
-0.003 -0.674 4.607
Fe Ni H
2 2 3
Cartesian
0.002 0.788 1.759 Fe
1.284 2.857 2.848 Fe
0.001 3.182 0.580 Ni
1.285 0.462 4.027 Ni
0.000 0.000 0.000 H
0.001 1.629 3.449 H
1.285 2.015 1.158 H
```



No. 16
## BaCo2Ag (PBE-GGA)

Data for an optimized crystal structure of BaCo2Ag.

Output
* formation energy: 2.3 eV/f.u.
* total DFT energy (no corrections): -16.69 eV per cell

Structure (POSCAR):
```
BaCo2Ag
1.0
-1.746 2.703 4.679
1.746 -2.703 4.679
1.746 2.703 -4.679
Ba Co Ag
1 2 1
Cartesian
0.000 0.000 0.000 Ba
1.746 0.000 2.952 Co
0.000 0.000 4.338 Co
0.000 2.703 1.819 Ag
```



No. 17
## DyCo5 (PBE-GGA)

Data for an optimized crystal structure of DyCo5.

Output
* formation energy: -0.7 eV/f.u.
* total DFT energy (no corrections): -40.81 eV per cell

Structure (POSCAR):
```
DyCo5
1.0
4.918 0.000 0.000
-2.459 4.259 0.000
0.000 0.000 3.941
Dy Co
1 5
Cartesian
0.000 0.000 0.000 Dy
-1.229 2.129 1.971 Co
0.000 2.839 0.000 Co
2.459 0.000 1.971 Co
1.229 2.129 1.971 Co
2.459 1.420 0.000 Co
```



No. 18
## La6Sm12Ho (PBE-GGA)

Data for an optimized crystal structure of La6Sm12Ho.

Output
* formation energy: 5.6 eV/f.u.
* E above lowest polymorph: 166.7 meV/atom
* total DFT energy (no corrections): -85.20 eV per cell

Structure (POSCAR):
```
La6Sm12Ho
1.0
8.477 4.894 2.744
-8.477 4.894 2.744
0.000 -9.788 2.744
La Sm Ho
6 12 1
Cartesian
-6.123 -3.535 4.568 La
0.000 -7.070 3.665 La
-6.123 3.535 3.665 La
6.123 -3.535 4.568 La
0.000 7.070 4.568 La
6.123 3.535 3.665 La
-3.189 -4.266 2.744 Sm
-5.288 -0.629 2.744 Sm
0.000 -3.322 3.123 Sm
-2.877 1.661 3.123 Sm
3.189 -4.266 2.744 Sm
-2.100 4.894 2.744 Sm
-2.877 -1.661 5.110 Sm
2.877 1.661 3.123 Sm
5.288 -0.629 2.744 Sm
2.100 4.894 2.744 Sm
2.877 -1.661 5.110 Sm
0.000 3.322 5.110 Sm
0.000 0.000 4.117 Ho
```



No. 19
## Fe2TeCl (PBE-GGA)

Data for an optimized crystal structure of Fe2TeCl.

Output
* E above lowest polymorph: 565.5 meV/atom
* total DFT energy (no corrections): -40.56 eV per cell
* raw formation energy: 0.409 eV per atom

Structure (POSCAR):
```
Fe2TeCl
1.0
-2.530 2.530 5.779
2.530 -2.530 5.779
2.530 2.530 -5.779
Fe Te Cl
4 2 2
Cartesian
3.795 0.921 -1.445 Fe
0.921 1.265 1.445 Fe
-1.265 1.609 4.334 Fe
1.609 1.265 7.224 Fe
2.530 0.000 2.890 Te
0.000 0.000 5.779 Te
0.000 0.000 0.000 Cl
0.000 2.530 2.890 Cl
```



No. 20
## SrTe2Cl (PBE-GGA)

Data for an optimized crystal structure of SrTe2Cl.

Output
* E above lowest polymorph: 96.5 meV/atom
* total DFT energy (no corrections): -14.41 eV per cell
* raw formation energy: -1.149 eV per atom

Structure (POSCAR):
```
SrTe2Cl
1.0
5.131 0.000 0.000
0.000 6.132 0.000
-2.286 0.000 5.207
Sr Te Cl
1 2 1
Cartesian
0.000 0.000 0.000 Sr
1.310 3.066 0.700 Te
1.534 3.066 4.506 Te
-1.143 0.000 2.603 Cl
```